! CrSi GGA-PBE optimized geometry; values from VASP
! N(E_F): 1.81 states/eV per cell
! Symmetry: No. 166
! E_form (uncorrected): 0.05 eV per atom
! V: 50 Å³ per cell
&SYSTEM
  ibrav = 0, nat = 4, ntyp = 2
/
ATOMIC_SPECIES
Si 28.09 Si.upf
Cr 52.00 Cr.upf
CELL_PARAMETERS angstrom
7.793 -0.005 -0.003
7.309 2.705 -0.003
7.309 1.307 2.368
ATOMIC_POSITIONS angstrom
Si 5.707 1.020 0.602
Si 11.101 1.985 1.170
Cr 16.754 2.995 1.766
Cr 0.054 0.010 0.006

=====

! CrSi GGA-PBE optimized geometry; values from VASP
! N(E_F): 14.48 states/eV per cell
! Symmetry: No. 87
! E_form (uncorrected): 0.28 eV per atom
! V: 267 Å³ per cell
&SYSTEM
  ibrav = 0, nat = 16, ntyp = 2
/
ATOMIC_SPECIES
Si 28.09 Si.upf
Cr 52.00 Cr.upf
CELL_PARAMETERS angstrom
-2.572 -3.520 -6.853
7.160 -3.759 -0.756
-1.418 -3.131 2.141
ATOMIC_POSITIONS angstrom
Si 4.316 -3.999 -2.991
Si -1.259 -5.446 -4.969
Si 4.429 -4.965 -0.499
Si 1.855 -2.286 -2.115
Si 2.733 -4.993 -5.494
Si 3.440 -7.491 -4.849
Si -0.270 -2.919 -0.619
Si 0.272 -3.280 -4.618
Cr 1.882 -3.348 0.179
Cr 1.288 -7.063 -5.647
Cr -0.297 -1.857 -2.913
Cr -1.649 -4.028 -3.155
Cr 3.926 -2.582 -1.177
Cr 0.662 -4.697 -6.432
Cr 4.885 -5.422 -4.696
Cr 4.820 -6.382 -2.314

=====

! CrSi3 GGA-PBE optimized geometry; values from VASP
! N(E_F): 3.67 states/eV per cell
! Symmetry: No. 139
! E_form (uncorrected): 0.26 eV per atom
! V: 51 Å³ per cell
&SYSTEM
  ibrav = 0, nat = 4, ntyp = 2
/
ATOMIC_SPECIES
Si 28.09 Si.upf
Cr 52.00 Cr.upf
CELL_PARAMETERS angstrom
-2.843 2.800 2.281
-4.163 -1.878 0.523
4.259 -1.515 0.833
ATOMIC_POSITIONS angstrom
Si -3.503 0.461 1.402
Si -1.043 0.874 2.258
Si -1.703 -1.466 1.379
Cr 0.000 0.000 0.000

=====

! CrSi GGA-PBE optimized geometry; values from VASP
! N(E_F): 4.54 states/eV per cell
! Symmetry: No. 129
! E_form (uncorrected): 0.18 eV per atom
! V: 50 Å³ per cell
&SYSTEM
  ibrav = 0, nat = 4, ntyp = 2
/
ATOMIC_SPECIES
Cr 52.00 Cr.upf
Si 28.09 Si.upf
CELL_PARAMETERS angstrom
2.525 0.000 0.000
0.000 2.525 0.000
0.000 0.000 7.821
ATOMIC_POSITIONS angstrom
Cr 1.894 1.894 2.935
Cr 0.631 0.631 4.886
Si 1.894 1.894 6.685
Si 0.631 0.631 1.137

=====

! CrSi5 GGA-PBE optimized geometry; values from VASP
! N(E_F): 2.88 states/eV per cell
! Symmetry: No. 8
! E_form (uncorrected): 0.22 eV per atom
! V: 81 Å³ per cell
&SYSTEM
  ibrav = 0, nat = 6, ntyp = 2
/
ATOMIC_SPECIES
Si 28.09 Si.upf
Cr 52.00 Cr.upf
CELL_PARAMETERS angstrom
1.555 4.627 0.111
-1.555 4.627 0.111
0.000 2.412 5.715
ATOMIC_POSITIONS angstrom
Si 0.000 7.974 4.079
Si 0.000 4.946 5.480
Si 0.000 3.648 1.898
Si 0.000 6.015 1.657
Si 0.000 10.448 3.773
Cr 0.000 2.436 5.651

=====

! CrSi2 GGA-PBE optimized geometry; values from VASP
! N(E_F): 4.77 states/eV per cell
! Symmetry: No. 8
! E_form (uncorrected): 0.03 eV per atom
! V: 75 Å³ per cell
&SYSTEM
  ibrav = 0, nat = 6, ntyp = 2
/
ATOMIC_SPECIES
Si 28.09 Si.upf
Cr 52.00 Cr.upf
CELL_PARAMETERS angstrom
-0.365 -3.493 3.084
2.465 -3.279 2.241
1.267 2.820 4.966
ATOMIC_POSITIONS angstrom
Si 2.253 -2.573 6.906
Si 1.825 0.727 6.308
Si 1.611 -3.357 4.552
Si 2.733 -4.705 7.976
Cr 1.249 2.694 4.875
Cr 1.133 -1.164 3.507

=====

! CrSi GGA-PBE optimized geometry; values from VASP
! N(E_F): 1.51 states/eV per cell
! Symmetry: No. 129
! E_form (uncorrected): -0.30 eV per atom
! V: 47 Å³ per cell
&SYSTEM
  ibrav = 0, nat = 4, ntyp = 2
/
ATOMIC_SPECIES
Cr 52.00 Cr.upf
Si 28.09 Si.upf
CELL_PARAMETERS angstrom
3.029 0.000 0.000
0.000 3.029 0.000
0.000 0.000 5.163
ATOMIC_POSITIONS angstrom
Cr 1.515 1.515 1.366
Cr 0.000 0.000 5.088
Si 0.000 0.000 2.532
Si 1.515 1.515 3.923

=====

! CrSi GGA-PBE optimized geometry; values from VASP
! N(E_F): 2.80 states/eV per cell
! Symmetry: No. 67
! E_form (uncorrected): 0.14 eV per atom
! V: 50 Å³ per cell
&SYSTEM
  ibrav = 0, nat = 4, ntyp = 2
/
ATOMIC_SPECIES
Si 28.09 Si.upf
Cr 52.00 Cr.upf
CELL_PARAMETERS angstrom
-1.803 -1.355 1.173
1.832 -1.680 -0.536
3.423 1.501 6.994
ATOMIC_POSITIONS angstrom
Si 0.812 -1.168 1.949
Si 1.770 0.776 3.616
Cr 2.587 -0.389 5.575
Cr 3.418 1.498 6.983